A relaxed structure of La2SnAs4Pd3, computed with PBE.

```
data_La2SnAs4Pd3
_chemical_formula_sum 'La2 Sn1 As4 Pd3'
_space_group_name_H-M_alt 'P -4 m 2'
_space_group_IT_number 115
_cell_length_a 4.603
_cell_length_b 4.603
_cell_length_c 10.202
_cell_angle_alpha 90.00
_cell_angle_beta 90.00
_cell_angle_gamma 90.00
loop_
_space_group_symop_operation_xyz
'x,y,z'
'y,-x,-z'
'-x,-y,z'
'-y,x,-z'
'-x,y,z'
'-y,-x,-z'
'x,-y,z'
'y,x,-z'
loop_
_atom_site_label
_atom_site_fract_x
_atom_site_fract_y
_atom_site_fract_z
_atom_site_occupancy
La1 0.000 0.500 0.231 1
Sn1 0.000 0.000 0.500 1
As1 0.000 0.000 0.000 1
As2 0.000 0.500 0.648 1
As3 0.500 0.500 0.000 1
Pd1 0.000 0.500 0.890 1
Pd2 0.500 0.500 0.500 1
```

Summary:
* electronic total energy: -5.56 eV/atom